Record 1
LiInRe2: relaxed, PBE.

abc: 8.801 2.805 5.245
angles: 90.00 95.23 90.00
Atoms (fractional coordinates):
Li  0.000  0.000  0.000
Li  0.500  0.500  0.000
In  0.255  0.500  0.216
In  0.755  0.000  0.216
Re  0.244  0.000  0.720
Re  0.496  0.000  0.533
Re  0.744  0.500  0.720
Re  0.996  0.500  0.533

Properties
* total energy: -7.04 eV per atom
* ρ: 12.73 g cm⁻³

=====

Record 2
BaZrBr2: relaxed, PBE.

abc: 3.652 6.617 10.289
angles: 90.00 90.00 90.00
Atoms (fractional coordinates):
Ba  0.000  0.000  0.000
Ba  0.500  0.500  0.500
Zr  0.000  0.000  0.500
Zr  0.500  0.500  0.000
Br  0.000  0.500  0.204
Br  0.000  0.500  0.796
Br  0.500  0.000  0.296
Br  0.500  0.000  0.704

Properties
* total energy: -4.21 eV per atom
* ρ: 5.19 g cm⁻³
* E_form (uncorrected): -0.7560 eV/atom

=====

Record 3
In3Hg8: relaxed, PBE.

abc: 6.840 6.840 6.840
angles: 93.12 93.12 93.12
Atoms (fractional coordinates):
In  0.000  0.500  0.500
In  0.500  0.000  0.500
In  0.500  0.500  0.000
Hg  0.095  0.316  0.898
Hg  0.102  0.905  0.684
Hg  0.316  0.898  0.095
Hg  0.368  0.368  0.368
Hg  0.632  0.632  0.632
Hg  0.684  0.102  0.905
Hg  0.898  0.095  0.316
Hg  0.905  0.684  0.102

Properties
* total energy: -0.92 eV per atom
* ρ: 10.16 g cm⁻³